Below is crystalline Tl3Ga at its relaxed geometry, with properties calculated at the GGA-PBEsol level. Values from VASP.

The structure in Quantum ESPRESSO input format:
```
&SYSTEM
  ibrav = 0, nat = 4, ntyp = 2
/
ATOMIC_SPECIES
Tl 204.38 Tl.upf
Ga 69.72 Ga.upf
ATOMIC_POSITIONS angstrom
Tl 0.0000 0.0000 0.0000
Tl 1.8654 1.8654 1.8654
Tl 5.5961 5.5961 5.5961
Ga 3.7307 3.7307 3.7307
CELL_PARAMETERS angstrom
0.0000 3.7307 3.7307
3.7307 0.0000 3.7307
3.7307 3.7307 0.0000
```

Results
Space-group type: Fm-3m, No. 225
Energy of formation from the pure elements, kJ per mole of atoms: 7.7
E_tot, eV/atom: -2.73